Entry 1:
First-principles (GGA-PBE) data for crystalline TbNdCdPt at its relaxed geometry, as listed in Alexandria via LeMat-Bulk.

```
4
Lattice="-0.6188 -4.9159 -1.5415 0.0552 -3.8398 3.4897 -4.3803 -2.5416 1.1304" Properties=species:S:1:pos:R:3 pbc="T T T"
Nd -3.7079 -8.4730 2.3090
Tb -1.2360 -2.8243 0.7697
Pt -2.4720 -5.6486 1.5393
Cd 0.0000 0.0000 0.0000
```

Output
The space-group type is No. 216. Its calculated volume is 24.7 Å³/atom. The calculation puts the total energy at -4.750 eV per atom.

***

Entry 2:
First-principles (GGA-PBE) data for crystalline K5Tl6Ga at its relaxed geometry, as listed in Alexandria via LeMat-Bulk.

```
12
Lattice="-1.1928 3.0949 11.0345 4.5602 1.1962 3.0312 1.7347 8.3032 -0.7044" Properties=species:S:1:pos:R:3 pbc="T T T"
K 1.3279 7.1718 5.5846
K 4.1930 6.3836 1.5366
K 2.1019 3.1157 0.7902
K 1.6837 2.1455 7.0328
K 3.7741 5.4224 7.7766
Tl 2.5933 3.2003 10.4704
Tl -0.0723 4.5215 8.7624
Tl 3.1791 3.4495 4.2430
Tl 5.1743 8.0727 4.5989
Tl 1.9229 9.1447 9.1183
Tl 0.7741 1.0907 3.5953
Ga 0.0000 0.0000 0.0000
```

Output
The space-group type is No. 12. Its calculated volume is 37.7 Å³/atom. The calculation puts the total energy at -1.940 eV per atom.

***

Entry 3:
First-principles (GGA-PBE) data for crystalline Sr2HgP at its relaxed geometry, as listed in Alexandria via LeMat-Bulk.

```
4
Lattice="4.5211 0.0000 0.0000 2.2606 3.9154 0.0000 2.2606 1.3051 7.6812" Properties=species:S:1:pos:R:3 pbc="T T T"
Sr 2.2606 1.3051 6.1484
Sr 2.2606 1.3051 1.5321
Hg 4.5211 2.6103 3.7923
P 4.5211 2.6103 0.0490
```

Output
The space-group type is No. 160. The calculation puts the offset from the most stable computed form at 15 meV per atom. Its calculated volume is 34.0 Å³/atom.